(1)
Compound: Pr2Y2Pt3
Source: the Alexandria database
Functional: PBE-GGA
Structure: optimized geometry

a b c (Å): 7.732 7.732 7.732
angles (deg): 109.47 109.47 109.47
Sites, in units of the cell vectors:
Pr: 0.000 0.126 0.500
Pr: 0.126 0.500 0.000
Pr: 0.374 0.374 0.374
Pr: 0.500 0.000 0.126
Y: 0.000 0.622 0.500
Y: 0.500 0.000 0.622
Y: 0.622 0.500 0.000
Y: 0.878 0.878 0.878
Pt: 0.113 0.863 0.250
Pt: 0.250 0.113 0.863
Pt: 0.387 0.637 0.750
Pt: 0.637 0.750 0.387
Pt: 0.750 0.387 0.637
Pt: 0.863 0.250 0.113

* energy relative to the elements: -1005 meV/atom
* E_tot: -6.8059 eV/atom
* magnetization: 0.00 μB per cell

(2)
Compound: Na2ZnHgP
Source: the Alexandria database
Functional: PBE-GGA
Structure: optimized geometry

a b c (Å): 5.871 5.871 4.729
angles (deg): 90.00 90.00 90.00
Sites, in units of the cell vectors:
Na: 0.000 0.500 0.000
Na: 0.500 0.000 0.000
Zn: 0.000 0.000 0.500
Hg: 0.500 0.500 0.000
P: 0.500 0.500 0.500

* energy relative to the elements: 278 meV/atom
* E_tot: -1.6469 eV/atom
* magnetization: 0.00 μB per cell
* relative energy among the computed polymorphs: 0.421 eV/atom

(3)
Compound: ScCd2Rh
Source: the Alexandria database
Functional: PBE-GGA
Structure: optimized geometry

a b c (Å): 5.097 5.097 5.097
angles (deg): 130.55 130.55 72.52
Sites, in units of the cell vectors:
Sc: 0.000 0.000 0.000
Cd: 0.250 0.750 0.500
Cd: 0.500 0.500 0.000
Rh: 0.750 0.250 0.500

* energy relative to the elements: -347 meV/atom
* E_tot: -4.2249 eV/atom
* magnetization: 0.00 μB per cell

(4)
Compound: BeCdAs2
Source: the Alexandria database
Functional: PBE-GGA
Structure: optimized geometry

a b c (Å): 6.734 6.734 6.734
angles (deg): 150.21 149.70 43.01
Sites, in units of the cell vectors:
Be: 0.000 0.000 0.000
Cd: 0.231 0.731 0.500
As: 0.547 0.547 0.000
As: 0.875 0.375 0.500

* energy relative to the elements: 231 meV/atom
* E_tot: -3.2542 eV/atom
* magnetization: 0.00 μB per cell
* relative energy among the computed polymorphs: 0.167 eV/atom

Which value of energy relative to the elements does entry 2 give? 278 meV/atom

Copy entry 3 word for word.
Compound: ScCd2Rh
Source: the Alexandria database
Functional: PBE-GGA
Structure: optimized geometry

a b c (Å): 5.097 5.097 5.097
angles (deg): 130.55 130.55 72.52
Sites, in units of the cell vectors:
Sc: 0.000 0.000 0.000
Cd: 0.250 0.750 0.500
Cd: 0.500 0.500 0.000
Rh: 0.750 0.250 0.500

* energy relative to the elements: -347 meV/atom
* E_tot: -4.2249 eV/atom
* magnetization: 0.00 μB per cell

What is the formula in the third record? ScCd2Rh

The lowest E_tot belongs to which entry? Pr2Y2Pt3